Below is crystalline Mg2ZnMo at its relaxed geometry, with properties calculated at the GGA-PBE level.

The calculation puts the formation energy at 0.351 eV/atom. The crystal system is cubic.

```
4
Lattice="4.613 0.000 0.000 2.307 3.995 0.000 2.307 1.332 3.767" Properties=species:S:1:pos:R:3 pbc="T T T"
Zn 6.920 3.995 2.825
Mg 0.000 0.000 0.000
Mg 2.307 1.332 0.942
Mo 4.613 2.663 1.883
```


Below is crystalline MgZn4Mo at its relaxed geometry, with properties calculated at the GGA-PBE level.

The calculation puts the formation energy at 0.143 eV/atom. The crystal system is cubic.

```
6
Lattice="-0.906 -3.277 3.790 -4.260 -2.789 -0.010 0.241 -5.014 -0.857" Properties=species:S:1:pos:R:3 pbc="T T T"
Mg -3.694 -8.310 2.193
Zn -1.720 -6.671 0.662
Zn -1.842 -4.144 1.094
Zn -2.298 -5.795 3.004
Zn -3.989 -5.550 1.089
Mo 0.000 0.000 0.000
```


Below is crystalline Mg2ZnMo at its relaxed geometry, with properties calculated at the GGA-PBE level.

The calculation puts the formation energy at 0.159 eV/atom. The crystal system is tetragonal.

```
4
Lattice="-1.442 -2.257 0.855 1.932 -0.482 1.985 -4.584 5.088 5.699" Properties=species:S:1:pos:R:3 pbc="T T T"
Mo -2.362 2.622 2.937
Mg -0.992 0.003 2.958
Mg -4.481 4.974 5.571
Zn -3.135 2.383 5.623
```


Below is crystalline Mg2Zn2Mo at its relaxed geometry, with properties calculated at the GGA-PBE level.

The calculation puts the formation energy at 0.213 eV/atom. The crystal system is tetragonal.

```
10
Lattice="7.497 0.000 0.000 0.000 7.497 0.000 0.000 0.000 2.936" Properties=species:S:1:pos:R:3 pbc="T T T"
Zn 2.818 6.567 0.000
Zn 4.679 0.931 0.000
Zn 6.567 4.679 0.000
Zn 0.931 2.818 0.000
Mg 6.178 2.429 1.468
Mg 5.068 6.178 1.468
Mg 1.320 5.068 1.468
Mg 2.429 1.320 1.468
Mo 0.000 0.000 0.000
Mo 3.749 3.749 0.000
```


Below is crystalline MgZn3Mo at its relaxed geometry, with properties calculated at the GGA-PBE level.

The calculation puts the formation energy at 0.852 eV/atom. The crystal system is cubic. As for the energy above the lowest structure with this stoichiometry: 0.0 meV/atom.

```
5
Lattice="4.875 0.000 0.000 0.000 4.875 0.000 0.000 0.000 4.875" Properties=species:S:1:pos:R:3 pbc="T T T"
Zn 2.438 0.000 0.000
Zn 0.000 2.438 0.000
Zn 0.000 0.000 2.438
Mo 0.000 0.000 0.000
Mg 2.438 2.438 2.438
```


Below is crystalline Mg2ZnMo at its relaxed geometry, with properties calculated at the GGA-PBE level.

The calculation puts the formation energy at 0.318 eV/atom. The crystal system is tetragonal.

```
4
Lattice="-4.195 -2.742 0.324 0.381 -4.078 -2.905 3.035 1.944 3.496" Properties=species:S:1:pos:R:3 pbc="T T T"
Zn -1.533 -2.104 1.265
Mo -1.907 -3.410 -1.290
Mg 0.000 0.000 0.000
Mg 0.755 -2.772 -0.350
```


Below is crystalline Mg2ZnMo at its relaxed geometry, with properties calculated at the GGA-PBE level.

The calculation puts the formation energy at 0.228 eV/atom. The crystal system is monoclinic.

```
4
Lattice="5.121 0.006 0.019 4.329 2.736 0.019 1.068 0.310 4.997" Properties=species:S:1:pos:R:3 pbc="T T T"
Zn 2.669 0.774 1.428
Mg 10.410 3.020 5.019
Mg 7.899 2.292 3.724
Mo 5.317 1.543 2.418
```


Below is crystalline Mg2ZnMo at its relaxed geometry, with properties calculated at the GGA-PBE level.

The calculation puts the formation energy at 0.621 eV/atom. The crystal system is tetragonal.

```
8
Lattice="7.309 0.000 0.000 0.000 7.309 0.000 3.654 3.654 2.733" Properties=species:S:1:pos:R:3 pbc="T T T"
Zn 3.654 3.654 0.000
Zn 3.654 7.309 1.366
Mo 7.309 3.654 1.366
Mo 0.000 0.000 0.000
Mg 5.481 5.647 2.050
Mg 5.316 1.827 0.683
Mg 9.136 8.970 2.050
Mg 1.993 5.481 0.683
```


Below is crystalline Mg4ZnMo at its relaxed geometry, with properties calculated at the GGA-PBE level.

The calculation puts the formation energy at 0.570 eV/atom. The crystal system is cubic.

```
6
Lattice="0.000 3.936 3.936 3.936 0.000 3.936 3.936 3.936 0.000" Properties=species:S:1:pos:R:3 pbc="T T T"
Mg 4.919 2.954 4.919
Mg 2.954 2.954 2.954
Mg 4.919 4.919 2.954
Mg 2.954 4.919 4.919
Mo 5.905 5.905 5.905
Zn 0.000 0.000 0.000
```


Below is crystalline Mg2ZnMo at its relaxed geometry, with properties calculated at the GGA-PBE level.

The calculation puts the formation energy at 0.277 eV/atom. The crystal system is orthorhombic.

```
4
Lattice="-0.418 -0.506 -3.065 -2.287 -3.950 0.964 -4.002 2.356 0.157" Properties=species:S:1:pos:R:3 pbc="T T T"
Zn -3.145 -0.797 0.561
Mo -2.210 0.925 -1.454
Mg 0.000 0.000 0.000
Mg -1.353 -2.228 -1.051
```


Below is crystalline Mg14ZnMo at its relaxed geometry, with properties calculated at the GGA-PBE level.

The calculation puts the formation energy at 0.086 eV/atom. The crystal system is hexagonal. As for the energy above the lowest structure with this stoichiometry: 0.0 meV/atom.

```
16
Lattice="3.116 -5.397 0.000 3.116 5.397 0.000 0.000 0.000 10.034" Properties=species:S:1:pos:R:3 pbc="T T T"
Mg 3.116 -1.799 7.515
Mg 4.668 2.695 5.017
Mg 3.116 -1.799 2.519
Mg 3.116 0.007 5.017
Mg 3.116 3.673 2.565
Mg 1.561 2.696 0.000
Mg 3.116 0.004 0.000
Mg 3.116 3.673 7.469
Mg 1.493 0.862 2.565
Mg 4.739 0.862 2.565
Mg 4.739 0.862 7.469
Mg 1.564 2.695 5.017
Mg 1.493 0.862 7.469
Mg 4.670 2.696 0.000
Zn 0.000 0.000 0.000
Mo 0.000 0.000 5.017
```


Below is crystalline Mg2ZnMo at its relaxed geometry, with properties calculated at the GGA-PBE level.

The calculation puts the formation energy at 0.265 eV/atom. The crystal system is orthorhombic.

```
4
Lattice="-4.533 -2.000 -2.696 0.516 -4.458 -3.416 0.392 2.242 5.161" Properties=species:S:1:pos:R:3 pbc="T T T"
Mg -0.576 -2.764 -0.696
Mg -3.957 -6.360 -6.020
Zn -3.050 -1.453 -0.258
Mo -2.068 -3.324 -3.146
```


Below is crystalline Mg2ZnMo at its relaxed geometry, with properties calculated at the GGA-PBE level.

The calculation puts the formation energy at 0.257 eV/atom. The crystal system is monoclinic.

```
4
Lattice="-0.897 -1.657 -4.101 -1.270 -2.199 1.167 -5.315 1.696 0.478" Properties=species:S:1:pos:R:3 pbc="T T T"
Mo -2.095 -0.954 -1.639
Mg -3.352 -0.401 0.895
Mg -1.211 -2.050 1.093
Zn -5.388 -1.206 -0.817
```


Below is crystalline Mg2ZnMo at its relaxed geometry, with properties calculated at the GGA-PBE level.

The calculation puts the formation energy at 0.141 eV/atom. The crystal system is orthorhombic.

```
4
Lattice="-1.589 -2.262 0.399 0.706 -0.367 -2.677 7.260 -4.650 2.553" Properties=species:S:1:pos:R:3 pbc="T T T"
Mg 0.009 -0.006 0.003
Mg 3.621 -2.319 1.273
Zn 5.004 -4.802 0.776
Mo 1.374 -2.477 -0.501
```


Below is crystalline Mg2ZnMo at its relaxed geometry, with properties calculated at the GGA-PBE level.

The calculation puts the formation energy at 0.200 eV/atom. The crystal system is orthorhombic.

```
4
Lattice="5.260 -0.026 0.000 -2.206 4.775 0.000 0.000 0.000 2.766" Properties=species:S:1:pos:R:3 pbc="T T T"
Mg 1.527 2.374 0.000
Mg 0.000 0.000 0.000
Zn -1.103 2.387 1.383
Mo 2.630 -0.013 1.383
```


Below is crystalline MgZnMo3 at its relaxed geometry, with properties calculated at the GGA-PBE level.

The calculation puts the formation energy at 2.124 eV/atom. The crystal system is cubic. As for the energy above the lowest structure with this stoichiometry: 583.2 meV/atom.

```
5
Lattice="-4.365 0.750 1.170 -1.378 -2.819 -3.337 0.174 -3.531 2.912" Properties=species:S:1:pos:R:3 pbc="T T T"
Mo -0.689 -1.409 -1.668
Mo 0.087 -1.766 1.456
Mo -2.182 0.375 0.585
Zn -2.785 -2.800 0.372
Mg 0.000 0.000 0.000
```


Below is crystalline MgZnMo4 at its relaxed geometry, with properties calculated at the GGA-PBE level.

The calculation puts the formation energy at 0.456 eV/atom. The crystal system is cubic.

```
6
Lattice="0.000 3.733 3.733 3.733 0.000 3.733 3.733 3.733 0.000" Properties=species:S:1:pos:R:3 pbc="T T T"
Zn 5.599 5.599 5.599
Mo 2.802 2.802 2.802
Mo 2.802 4.664 4.664
Mo 4.664 2.802 4.664
Mo 4.664 4.664 2.802
Mg 0.000 0.000 0.000
```


Below is crystalline Mg2ZnMo at its relaxed geometry, with properties calculated at the GGA-PBE level.

The calculation puts the formation energy at 0.183 eV/atom. The crystal system is monoclinic.

```
4
Lattice="-1.013 4.789 -2.483 -0.110 -4.552 -3.064 -2.695 -0.230 -0.487" Properties=species:S:1:pos:R:3 pbc="T T T"
Mo -1.854 2.279 -1.485
Zn -1.403 -2.391 -1.776
Mg 0.000 0.000 0.000
Mg -0.561 0.118 -2.773
```


Below is crystalline Mg2ZnMo at its relaxed geometry, with properties calculated at the GGA-PBE level.

The calculation puts the formation energy at 0.250 eV/atom. The crystal system is orthorhombic.

```
4
Lattice="-2.525 1.329 0.393 -0.084 -1.315 3.903 2.821 4.859 1.699" Properties=species:S:1:pos:R:3 pbc="T T T"
Mo 1.437 2.475 0.865
Mg 2.800 4.823 1.686
Mg -0.545 1.315 2.606
Zn 0.752 3.549 3.386
```


Below is crystalline Mg2ZnMo at its relaxed geometry, with properties calculated at the GGA-PBE level.

The calculation puts the formation energy at 0.231 eV/atom. The crystal system is trigonal.

```
4
Lattice="9.726 -0.003 -0.002 9.282 2.905 -0.002 9.282 1.417 2.536" Properties=species:S:1:pos:R:3 pbc="T T T"
Zn 21.331 3.256 1.909
Mg 6.917 1.056 0.619
Mg 0.152 0.023 0.014
Mo 14.037 2.143 1.256
```